--- a ---
8
Lattice="-0.733 -4.019 0.858 4.109 -0.724 0.116 1.773 -0.424 9.678" Properties=species:S:1:pos:R:3 comment="MgTi2Cl | Alexandria via LeMat-Bulk | GGA-PBE | relaxed" sg="I-42d (122)" volume_a3_per_cell=163.7 pbc="T T T"
Mg 3.786 -1.760 5.140
Mg 1.688 -2.372 0.487
Ti 0.409 -3.202 3.076
Ti 3.010 -0.567 2.494
Cl 0.000 0.000 0.000
Ti 2.091 -2.008 7.610
Ti 4.790 -4.557 8.125
Cl 1.365 -3.407 5.512

---

--- b ---
4
Lattice="-1.666 -4.376 0.499 0.917 -2.435 3.924 -3.444 -0.869 3.090" Properties=species:S:1:pos:R:3 comment="MgTi2Cl | Alexandria via LeMat-Bulk | GGA-PBE | relaxed" sg="Fm-3m (225)" volume_a3_per_cell=73.8 pbc="T T T"
Cl -2.096 -3.840 3.757
Mg 0.000 0.000 0.000
Ti -3.145 -5.760 5.636
Ti -1.048 -1.920 1.879

---

a comes first in stability; the runner-up is 5.6 kJ/mol of atoms higher.

---

--- a ---
4
Lattice="-4.592 4.609 7.149 -2.583 2.779 8.891 -1.576 5.610 7.713" Properties=species:S:1:pos:R:3 comment="MgTiCl2 | Alexandria via LeMat-Bulk | GGA-PBE | relaxed" sg="R-3m (166)" volume_a3_per_cell=85.6 pbc="T T T"
Cl -0.951 1.412 2.580
Ti -4.375 6.499 11.876
Mg 0.000 0.000 0.000
Cl -7.800 11.586 21.172

---

--- b ---
4
Lattice="0.000 3.375 3.375 3.375 0.000 3.375 3.375 3.375 0.000" Properties=species:S:1:pos:R:3 comment="MgTiCl2 | Alexandria via LeMat-Bulk | GGA-PBE | relaxed" sg="Fm-3m (225)" volume_a3_per_cell=76.9 pbc="T T T"
Cl 5.063 5.063 5.063
Ti 3.375 3.375 3.375
Mg 0.000 0.000 0.000
Cl 1.688 1.688 1.688

---

--- c ---
8
Lattice="5.817 0.000 0.000 0.000 5.817 0.000 2.908 2.908 5.898" Properties=species:S:1:pos:R:3 comment="MgTiCl2 | Alexandria via LeMat-Bulk | GGA-PBE | relaxed" sg="I-42d (122)" volume_a3_per_cell=199.5 pbc="T T T"
Mg 2.908 5.817 2.949
Ti 5.817 2.908 2.949
Mg 2.908 2.908 0.000
Ti 0.000 0.000 0.000
Cl 1.533 4.363 1.474
Cl 7.271 7.192 4.423
Cl 4.284 1.454 1.474
Cl 4.363 4.441 4.423

---

a comes first in stability; the runner-up is 52.2 kJ/mol of atoms higher.

---

--- a ---
5
Lattice="-2.903 2.737 -2.129 -3.467 -2.335 1.726 -0.054 2.740 3.597" Properties=species:S:1:pos:R:3 comment="MgTi3Cl | Alexandria via LeMat-Bulk | GGA-PBE | relaxed" sg="Pm-3m (221)" volume_a3_per_cell=92.5 pbc="T T T"
Ti -1.451 1.369 -1.064
Ti -0.027 1.370 1.799
Cl 0.000 0.000 0.000
Mg -3.212 1.571 1.597
Ti -1.734 -1.167 0.863

---

--- b ---
5
Lattice="-3.526 -3.346 -1.137 0.312 -1.895 4.608 -3.520 3.184 1.547" Properties=species:S:1:pos:R:3 comment="MgTi3Cl | Alexandria via LeMat-Bulk | GGA-PBE | relaxed" sg="Pm-3m (221)" volume_a3_per_cell=124.4 pbc="T T T"
Ti -1.763 -1.673 -0.568
Ti 0.156 -0.947 2.304
Ti -1.760 1.592 0.774
Cl -3.367 -1.028 2.509
Mg 0.000 0.000 0.000

---

a comes first in stability; the runner-up is 121.8 kJ/mol of atoms higher.

---

--- a ---
5
Lattice="5.125 0.000 0.000 0.000 5.125 0.000 0.000 0.000 5.125" Properties=species:S:1:pos:R:3 comment="Mg3TlCl | Alexandria via LeMat-Bulk | GGA-PBE | relaxed" sg="Pm-3m (221)" volume_a3_per_cell=134.6 pbc="T T T"
Mg 0.000 2.563 0.000
Cl 0.000 0.000 0.000
Tl 2.563 2.563 2.563
Mg 0.000 0.000 2.563
Mg 2.563 0.000 0.000

---

--- b ---
5
Lattice="-0.745 4.479 -2.854 -5.252 -0.195 1.066 0.786 2.944 4.413" Properties=species:S:1:pos:R:3 comment="Mg3TlCl | Alexandria via LeMat-Bulk | GGA-PBE | relaxed" sg="Pm-3m (221)" volume_a3_per_cell=154.2 pbc="T T T"
Mg -0.373 2.239 -1.427
Cl -2.606 3.614 1.312
Mg 0.393 1.472 2.207
Tl 0.000 0.000 0.000
Mg -2.626 -0.097 0.533

---

b comes first in stability; the runner-up is 14.3 kJ/mol of atoms higher.

---

--- a ---
4
Lattice="7.674 -0.016 -0.036 -3.630 4.489 0.009 0.413 1.430 3.272" Properties=species:S:1:pos:R:3 comment="MgTlCl2 | Alexandria via LeMat-Bulk | GGA-PBE | relaxed" sg="C2/m (12)" volume_a3_per_cell=112.7 pbc="T T T"
Mg -1.608 2.959 1.640
Cl 4.044 0.707 1.618
Cl 0.000 0.000 0.000
Tl 2.022 2.236 -0.014

---

--- b ---
4
Lattice="-0.667 -3.518 0.974 2.397 1.882 2.117 -6.722 2.715 5.200" Properties=species:S:1:pos:R:3 comment="MgTlCl2 | Alexandria via LeMat-Bulk | GGA-PBE | relaxed" sg="Cmm2 (35)" volume_a3_per_cell=109.9 pbc="T T T"
Tl -4.104 1.189 5.389
Cl -1.311 0.061 3.228
Cl -6.425 2.595 4.970
Mg -3.237 1.307 2.504

---

--- c ---
4
Lattice="6.302 -0.051 0.138 5.335 3.355 0.138 1.861 0.528 5.766" Properties=species:S:1:pos:R:3 comment="MgTlCl2 | Alexandria via LeMat-Bulk | GGA-PBE | relaxed" sg="Cm (8)" volume_a3_per_cell=122.5 pbc="T T T"
Mg 6.685 1.898 4.174
Cl 1.993 0.566 5.265
Tl 2.415 0.686 1.736
Cl 11.014 3.128 3.656

---

c comes first in stability; the runner-up is 27.8 kJ/mol of atoms higher.

---

--- a ---
6
Lattice="3.858 0.000 0.000 0.000 6.518 -0.177 0.000 -0.174 7.006" Properties=species:S:1:pos:R:3 comment="MgTlCl4 | Alexandria via LeMat-Bulk | GGA-PBE | relaxed" sg="P2/m (10)" volume_a3_per_cell=176.1 pbc="T T T"
Cl 0.000 4.886 4.781
Mg 0.000 0.000 0.000
Cl 0.000 1.458 2.047
Tl 1.929 -0.087 3.503
Cl 1.929 5.104 0.780
Cl 1.929 1.240 6.049

---

--- b ---
6
Lattice="5.655 -1.277 1.870 3.279 4.237 2.898 1.179 -0.601 5.946" Properties=species:S:1:pos:R:3 comment="MgTlCl4 | Alexandria via LeMat-Bulk | GGA-PBE | relaxed" sg="F-43m (216)" volume_a3_per_cell=159.8 pbc="T T T"
Cl 3.801 0.887 4.027
Tl 0.000 0.000 0.000
Cl 6.609 0.253 4.956
Cl 5.429 2.991 5.466
Cl 4.386 0.588 6.979
Mg 7.584 1.769 8.036

---

a comes first in stability; the runner-up is 111.5 kJ/mol of atoms higher.